Record 1
## OsC8 (PBE)

Data for OsC8 after structural relaxation.

Values from the calculation:
* SG: No. 139
* energy relative to the elements: 248.6 kJ/mol of atoms

Unit cell a=5.473 b=5.473 c=5.473 alpha=121.51 beta=121.51 gamma=87.40
Element x y z (fractional)
Os  0.000  0.000  0.000
C  0.000  0.371  0.371
C  0.000  0.629  0.629
C  0.359  0.359  0.719
C  0.359  0.641  0.000
C  0.371  0.000  0.371
C  0.629  0.000  0.629
C  0.641  0.359  0.000
C  0.641  0.641  0.281

***

Record 2
## OsC5 (PBE)

Data for OsC5 after structural relaxation.

Values from the calculation:
* SG: No. 191
* energy relative to the elements: 273.5 kJ/mol of atoms

Unit cell a=3.447 b=3.447 c=7.103 alpha=90.00 beta=90.00 gamma=120.00
Element x y z (fractional)
Os  0.000  0.000  0.000
C  0.000  0.500  0.500
C  0.333  0.667  0.000
C  0.500  0.000  0.500
C  0.500  0.500  0.500
C  0.667  0.333  0.000

***

Record 3
## OsC (PBE)

Data for OsC after structural relaxation.

Values from the calculation:
* SG: No. 8
* energy relative to the elements: 108.4 kJ/mol of atoms

Unit cell a=5.267 b=5.267 c=5.802 alpha=101.48 beta=101.48 gamma=30.24
Element x y z (fractional)
Os  0.000  0.000  0.000
Os  0.004  0.004  0.477
Os  0.740  0.740  0.200
C  0.392  0.392  0.199
C  0.491  0.491  0.747
C  0.648  0.648  0.446

***

Record 4
## OsC5 (PBE)

Data for OsC5 after structural relaxation.

Values from the calculation:
* SG: No. 123
* energy relative to the elements: 224.1 kJ/mol of atoms

Unit cell a=3.138 b=3.138 c=5.281 alpha=90.00 beta=90.00 gamma=90.00
Element x y z (fractional)
Os  0.000  0.000  0.000
C  0.000  0.000  0.377
C  0.000  0.000  0.623
C  0.500  0.500  0.236
C  0.500  0.500  0.500
C  0.500  0.500  0.764